Entry 1:
The following is a PBE calculation of NaCeTm2Se4 after structural relaxation, from the Alexandria database.

Geometry as POSCAR:
```
NaCeTm2Se4
1.0
4.067 0.000 0.000
0.000 7.202 -0.200
0.000 2.487 6.674
Na Ce Tm Se
1 1 2 4
Cartesian
0.000 4.844 3.237
2.033 6.088 6.574
0.000 2.487 6.674
2.033 1.243 3.337
0.000 7.347 4.793
4.067 2.341 1.680
2.033 6.123 1.493
2.033 3.565 4.980
```

Output
The raw formation energy comes out at -1706.4 meV/atom. The value obtained for the energy is -43.79 eV/cell. Its symmetry is P2/m (10). As for the density of states at the Fermi level: 7.66 states/eV per cell.

Entry 2:
The following is a PBE calculation of Na3Ce2TmSe6 after structural relaxation, from the Alexandria database.

Geometry as POSCAR:
```
Na3Ce2TmSe6
1.0
7.340 -0.002 0.000
-3.670 6.357 0.000
-1.225 -2.121 6.974
Na Ce Tm Se
3 2 1 6
Cartesian
-2.446 4.236 3.486
4.891 -0.001 3.486
1.223 2.117 3.486
0.000 4.237 0.000
3.670 2.118 0.000
0.000 0.000 0.000
3.629 2.185 5.347
2.487 4.307 1.615
-1.184 2.049 1.625
0.079 4.235 5.347
-0.042 -0.073 5.358
2.366 -0.001 1.625
```

Output
The raw formation energy comes out at -1639.5 meV/atom. The value obtained for the energy is -60.88 eV/cell. Its symmetry is C2/m (12). As for the density of states at the Fermi level: 12.27 states/eV per cell.

Entry 3:
The following is a PBE calculation of Na4CeTm3Se8 after structural relaxation, from the Alexandria database.

Geometry as POSCAR:
```
Na4CeTm3Se8
1.0
-6.165 -5.491 -0.825
4.902 -4.749 -5.026
2.728 2.070 7.557
Na Ce Tm Se
4 1 3 8
Cartesian
-3.083 -2.746 -0.412
-1.718 -1.711 3.366
0.000 0.000 0.000
1.364 1.035 3.779
2.451 -2.374 -2.513
-0.632 -5.120 -2.925
0.733 -4.085 0.854
3.815 -1.339 1.266
4.726 -2.798 3.546
3.403 -3.802 -0.119
1.161 -1.651 2.309
1.736 -5.461 3.146
-0.271 -2.708 -1.439
0.304 -6.519 -0.602
-1.938 -4.367 1.826
-3.261 -5.371 -1.839
```

Output
The raw formation energy comes out at -1672.0 meV/atom. The value obtained for the energy is -79.25 eV/cell. Its symmetry is R-3m (166). As for the density of states at the Fermi level: 5.02 states/eV per cell.

Entry 4:
The following is a PBE calculation of NaCe2USe4 after structural relaxation, from the Alexandria database.

Geometry as POSCAR:
```
NaCe2USe4
1.0
4.167 0.000 0.000
0.000 7.168 -0.109
0.000 2.547 6.873
Na Ce U Se
1 2 1 4
Cartesian
2.083 3.584 -0.055
0.000 2.547 6.873
2.083 1.273 3.436
0.000 4.857 3.382
0.000 7.249 5.070
4.167 2.466 1.693
2.083 5.960 1.658
2.083 3.755 5.105
```

Output
The raw formation energy comes out at -1484.7 meV/atom. The value obtained for the energy is -50.29 eV/cell. Its symmetry is P2/m (10). As for the density of states at the Fermi level: 16.30 states/eV per cell.

Entry 5:
The following is a PBE calculation of Na3CeU2Se6 after structural relaxation, from the Alexandria database.

Geometry as POSCAR:
```
Na3CeU2Se6
1.0
7.240 -0.001 0.000
-3.619 6.270 0.000
-1.208 -2.091 7.061
Na Ce U Se
3 1 2 6
Cartesian
-2.427 4.187 3.530
4.839 -0.009 3.530
1.206 2.089 3.530
0.000 0.000 0.000
0.000 4.180 0.000
3.620 2.089 0.000
3.645 2.043 5.400
2.388 4.135 1.666
-1.232 2.135 1.660
-0.052 4.178 5.400
0.025 0.043 5.395
2.465 0.000 1.660
```

Output
The raw formation energy comes out at -1324.5 meV/atom. The value obtained for the energy is -69.27 eV/cell. Its symmetry is C2/m (12). As for the density of states at the Fermi level: 14.17 states/eV per cell.

Entry 6:
The following is a PBE calculation of Na2CeUSe4 after structural relaxation, from the Alexandria database.

Geometry as POSCAR:
```
Na2CeUSe4
1.0
-3.299 -1.833 -1.861
3.405 0.413 -6.444
1.747 -6.456 3.262
Na Ce U Se
2 1 1 4
Cartesian
-0.776 -4.144 0.701
2.576 -3.021 -1.591
0.000 0.000 0.000
0.053 -0.710 -4.152
-0.381 -2.340 -1.777
2.234 -5.536 -3.266
2.226 -4.838 0.819
2.926 -1.204 -4.002
```

Output
The raw formation energy comes out at -1395.4 meV/atom. The value obtained for the energy is -44.96 eV/cell. Its symmetry is P2/m (10). As for the density of states at the Fermi level: 11.57 states/eV per cell.

Entry 7:
The following is a PBE calculation of Na3CeU3Se8 after structural relaxation, from the Alexandria database.

Geometry as POSCAR:
```
Na3CeU3Se8
1.0
8.335 0.000 0.000
-4.168 7.218 -0.028
0.000 -4.787 7.058
Na Ce U Se
3 1 3 8
Cartesian
0.000 0.000 0.000
-2.084 3.609 -0.014
2.084 3.609 -0.014
0.000 -2.394 3.529
4.168 -2.394 3.529
2.084 1.215 3.515
-2.084 1.215 3.515
0.000 2.412 1.869
4.168 0.018 5.161
4.168 2.361 1.888
0.000 0.070 5.142
6.207 -1.171 1.902
-2.040 3.602 5.128
2.128 -1.171 1.902
2.039 3.602 5.128
```

Output
The raw formation energy comes out at -1290.8 meV/atom. The value obtained for the energy is -90.99 eV/cell. Its symmetry is R-3m (166). As for the density of states at the Fermi level: 20.36 states/eV per cell.

Entry 8:
The following is a PBE calculation of Na3Ce2USe6 after structural relaxation, from the Alexandria database.

Geometry as POSCAR:
```
Na3Ce2USe6
1.0
-5.932 4.239 0.932
1.050 -3.501 -6.377
-1.930 -5.763 4.258
Na Ce U Se
3 2 1 6
Cartesian
-1.083 -5.087 -3.024
-5.728 0.062 1.838
-3.406 -2.512 -0.593
-1.278 -0.921 -3.940
-3.604 1.658 -1.505
0.000 0.000 0.000
-6.317 -2.580 0.322
-4.122 -0.798 -3.092
-0.495 -2.445 -1.508
-4.034 -5.110 -2.067
-2.690 -4.227 1.906
-2.777 0.085 0.881
```

Output
The raw formation energy comes out at -1468.4 meV/atom. The value obtained for the energy is -65.64 eV/cell. Its symmetry is C2/m (12). As for the density of states at the Fermi level: 19.40 states/eV per cell.

Entry 9:
The following is a PBE calculation of Na2Ce2USe6 after structural relaxation, from the Alexandria database.

Geometry as POSCAR:
```
Na2Ce2USe6
1.0
-0.545 6.209 3.895
0.716 -6.427 3.492
6.877 0.769 -2.582
Na Ce U Se
2 2 1 6
Cartesian
-0.332 4.077 3.827
0.504 -4.296 3.560
3.733 -1.812 2.336
3.316 2.362 2.469
3.439 0.384 -1.291
5.138 0.395 3.697
5.249 -1.563 -0.196
1.910 0.155 1.108
4.836 2.578 -0.064
1.799 2.114 5.002
2.213 -2.028 4.870
```

Output
The raw formation energy comes out at -1484.7 meV/atom. The value obtained for the energy is -63.03 eV/cell. Its symmetry is C2/m (12). As for the density of states at the Fermi level: 17.89 states/eV per cell.

Entry 10:
The following is a PBE calculation of NaCe2U3Se6 after structural relaxation, from the Alexandria database.

Geometry as POSCAR:
```
NaCe2U3Se6
1.0
4.084 0.000 0.000
0.000 8.383 0.176
-2.042 -2.544 8.719
Na Ce U Se
1 2 3 6
Cartesian
2.042 0.000 0.000
2.042 3.879 5.916
0.000 1.961 2.980
2.042 4.192 0.088
2.042 -0.284 5.819
0.000 6.123 3.076
0.000 6.037 6.005
2.042 4.089 2.962
2.042 -0.197 2.891
2.042 -0.431 8.726
0.000 6.270 0.169
0.000 1.751 5.933
```

Output
The raw formation energy comes out at -1318.2 meV/atom. The value obtained for the energy is -83.78 eV/cell. Its symmetry is C2/m (12). As for the density of states at the Fermi level: 25.00 states/eV per cell.

Entry 11:
The following is a PBE calculation of NaCeY2Se4 after structural relaxation, from the Alexandria database.

Geometry as POSCAR:
```
NaCeY2Se4
1.0
-3.469 1.122 -1.915
-2.308 -6.868 0.159
-3.698 -1.087 6.064
Na Ce Y Se
1 1 2 4
Cartesian
-3.003 -3.978 3.111
-2.889 -2.873 -0.878
-3.698 -1.087 6.064
-3.584 0.017 2.075
-4.502 -6.018 4.631
-4.974 -0.816 -0.323
-4.404 -4.928 0.665
-5.071 -1.906 3.643
```

Output
The raw formation energy comes out at -1746.1 meV/atom. The value obtained for the energy is -48.09 eV/cell. Its symmetry is P2/m (10). As for the density of states at the Fermi level: 7.80 states/eV per cell.

Entry 12:
The following is a PBE calculation of NaCeY4Se8 after structural relaxation, from the Alexandria database.

Geometry as POSCAR:
```
NaCeY4Se8
1.0
8.469 0.000 0.000
4.235 7.335 0.000
4.235 2.445 7.047
Na Ce Y Se
1 1 4 8
Cartesian
8.469 4.890 6.199
4.235 2.445 6.969
8.469 4.890 0.851
4.235 4.794 3.553
6.269 1.270 3.553
2.200 1.270 3.553
8.469 7.505 5.158
10.734 3.582 5.158
6.205 3.582 5.158
4.235 2.445 1.978
8.469 2.330 1.874
6.252 6.170 1.874
10.686 6.170 1.874
12.704 7.335 5.104
```

Output
The raw formation energy comes out at -1751.6 meV/atom. The value obtained for the energy is -85.51 eV/cell. Its symmetry is R3m (160). As for the density of states at the Fermi level: 8.38 states/eV per cell.

Entry 13:
The following is a PBE calculation of Na3Ce2YSe6 after structural relaxation, from the Alexandria database.

Geometry as POSCAR:
```
Na3Ce2YSe6
1.0
-2.487 4.978 4.828
4.801 -5.152 2.163
4.519 4.298 -3.978
Na Ce Y Se
3 2 1 6
Cartesian
5.847 -1.316 0.618
0.986 5.440 2.395
3.417 2.062 1.507
2.372 -1.775 3.052
-0.057 1.601 3.940
0.000 0.000 0.000
4.029 4.810 2.694
2.794 0.871 4.329
2.804 -0.686 0.319
6.404 1.508 1.826
4.039 3.252 -1.316
0.429 2.616 1.188
```

Output
The raw formation energy comes out at -1647.8 meV/atom. The value obtained for the energy is -62.97 eV/cell. Its symmetry is C2/m (12). As for the density of states at the Fermi level: 12.26 states/eV per cell.

Entry 14:
The following is a PBE calculation of Na4CeY3Se8 after structural relaxation, from the Alexandria database.

Geometry as POSCAR:
```
Na4CeY3Se8
1.0
8.375 0.000 0.000
0.000 8.505 0.081
-4.188 -4.184 5.925
Na Ce Y Se
4 1 3 8
Cartesian
4.188 0.000 0.000
2.094 -2.092 2.962
0.000 0.000 0.000
-2.094 -2.092 2.962
0.000 4.252 0.041
4.188 4.252 0.041
2.094 2.160 3.003
-2.094 2.160 3.003
-2.051 2.106 5.895
0.000 4.155 2.993
0.000 0.153 3.064
2.051 2.106 5.895
2.137 2.214 0.111
4.188 4.168 2.941
4.188 0.165 3.012
6.238 2.214 0.111
```

Output
The raw formation energy comes out at -1687.4 meV/atom. The value obtained for the energy is -85.48 eV/cell. Its symmetry is R-3m (166). As for the density of states at the Fermi level: 5.07 states/eV per cell.

Entry 15:
The following is a PBE calculation of Na3CeY2Se6 after structural relaxation, from the Alexandria database.

Geometry as POSCAR:
```
Na3CeY2Se6
1.0
-0.343 3.573 -6.331
-5.745 -0.048 4.468
4.417 4.601 3.753
Na Ce Y Se
3 1 2 6
Cartesian
-2.639 2.854 4.550
0.968 5.272 -2.661
-0.835 4.063 0.945
0.000 0.000 0.000
-3.945 1.159 0.869
-2.143 2.367 -2.733
-0.264 6.804 -0.360
-3.456 3.665 -0.500
-1.406 1.322 2.249
-2.107 5.569 3.323
1.786 4.461 2.389
0.436 2.557 -1.434
```

Output
The raw formation energy comes out at -1679.7 meV/atom. The value obtained for the energy is -63.88 eV/cell. Its symmetry is C2/m (12). As for the density of states at the Fermi level: 5.06 states/eV per cell.

Entry 16:
The following is a PBE calculation of Na3CeY3Se8 after structural relaxation, from the Alexandria database.

Geometry as POSCAR:
```
Na3CeY3Se8
1.0
8.313 0.000 0.000
-4.156 7.199 -0.029
0.000 -4.778 7.038
Na Ce Y Se
3 1 3 8
Cartesian
0.000 0.000 0.000
-2.078 3.599 -0.015
2.078 3.599 -0.015
0.000 -2.389 3.519
4.156 -2.389 3.519
2.078 1.210 3.504
-2.078 1.210 3.504
0.000 2.403 1.884
4.156 0.017 5.125
4.156 2.407 1.913
0.000 0.014 5.095
6.238 -1.198 1.928
-2.081 3.618 5.080
2.075 -1.198 1.928
2.081 3.618 5.080
```

Output
The raw formation energy comes out at -1681.6 meV/atom. The value obtained for the energy is -82.38 eV/cell. Its symmetry is C2/m (12).

Entry 17:
The following is a PBE calculation of Na2CeZrSe4 after structural relaxation, from the Alexandria database.

Geometry as POSCAR:
```
Na2CeZrSe4
1.0
4.058 0.000 0.000
0.000 7.027 0.125
0.000 -2.459 7.058
Na Ce Zr Se
2 1 1 4
Cartesian
2.029 -1.229 3.529
0.000 2.284 3.591
0.000 0.000 0.000
2.029 3.514 0.062
2.029 1.259 1.696
2.029 3.309 5.487
0.000 0.017 5.491
0.000 4.551 1.692
```

Output
The raw formation energy comes out at -1437.8 meV/atom. The value obtained for the energy is -42.56 eV/cell. Its symmetry is P2/m (10). As for the density of states at the Fermi level: 7.70 states/eV per cell.

Entry 18:
The following is a PBE calculation of Na4CeZr3Se8 after structural relaxation, from the Alexandria database.

Geometry as POSCAR:
```
Na4CeZr3Se8
1.0
-1.805 -1.419 -7.533
-6.995 -4.145 2.457
0.921 7.411 2.499
Na Ce Zr Se
4 1 3 8
Cartesian
-0.902 -0.710 -3.766
-0.442 2.996 -2.517
0.000 0.000 0.000
0.460 3.705 1.250
-3.497 -2.072 1.228
-4.400 -2.782 -2.538
-3.940 0.923 -1.288
-3.037 1.633 2.478
-4.666 3.875 2.353
-5.105 0.337 1.160
-1.925 2.323 0.023
-5.528 3.197 -1.243
-2.351 -1.351 -1.333
-5.955 -0.476 -2.600
-2.774 1.510 -3.736
-3.213 -2.028 -4.929
```

Output
The raw formation energy comes out at -1366.8 meV/atom. The value obtained for the energy is -86.60 eV/cell. Its symmetry is R-3m (166). As for the density of states at the Fermi level: 10.93 states/eV per cell.

Entry 19:
The following is a PBE calculation of Na4Ce3ZrSe8 after structural relaxation, from the Alexandria database.

Geometry as POSCAR:
```
Na4Ce3ZrSe8
1.0
-2.437 7.925 -1.007
-3.042 -1.920 -7.730
-2.615 -4.364 6.624
Na Ce Zr Se
4 3 1 8
Cartesian
-1.218 3.962 -0.503
-2.526 1.780 2.808
0.000 0.000 0.000
-1.307 -2.182 3.312
-2.740 3.002 -4.368
-4.047 0.820 -1.057
-2.829 -3.142 -0.553
-1.521 -0.960 -3.865
-5.401 -3.880 0.706
-4.030 -1.592 -2.768
-2.728 -0.702 1.094
-6.679 0.276 0.178
-1.415 1.365 -2.291
-5.366 2.343 -3.207
-4.064 3.233 0.655
-2.693 5.521 -2.819
```

Output
The raw formation energy comes out at -1522.1 meV/atom. The value obtained for the energy is -83.86 eV/cell. Its symmetry is R-3m (166). As for the density of states at the Fermi level: 21.54 states/eV per cell.

Entry 20:
The following is a PBE calculation of NaCeSi3 after structural relaxation, from the Alexandria database.

Geometry as POSCAR:
```
NaCeSi3
1.0
-0.002 0.699 -3.857
2.223 -3.601 -0.654
-11.862 -4.628 -0.834
Na Ce Si
2 2 6
Cartesian
-5.171 -5.382 -1.970
-4.469 -2.147 -3.375
-1.500 -0.722 -1.126
-8.141 -6.808 -4.219
-8.232 -4.747 -1.853
-1.408 -2.782 -3.491
-10.228 -5.940 -2.069
0.587 -1.589 -3.276
-7.135 -3.741 -3.663
-2.506 -3.788 -1.682
```

Output
The raw formation energy comes out at -376.4 meV/atom. The value obtained for the energy is -50.81 eV/cell. Its symmetry is Cmcm (63). As for the density of states at the Fermi level: 9.24 states/eV per cell.

Entry 21:
The following is a PBE calculation of NaCeSi4 after structural relaxation, from the Alexandria database.

Geometry as POSCAR:
```
NaCeSi4
1.0
5.322 0.000 0.000
2.661 4.609 0.000
2.661 1.536 4.345
Na Si Ce
1 4 1
Cartesian
0.000 0.000 0.000
5.322 3.073 0.525
5.322 1.519 2.722
6.667 3.849 2.722
3.977 3.849 2.722
2.661 1.536 1.086
```

Output
The raw formation energy comes out at -188.9 meV/atom. The value obtained for the energy is -30.08 eV/cell. Its symmetry is F-43m (216). As for the density of states at the Fermi level: 5.42 states/eV per cell.